## HfGe2Pd (PBE-GGA)

Data for HfGe2Pd after structural relaxation.

Calculated density (g/cm3): 9.54
N(E_F) (states/eV/f.u.): 2.22
Total DFT energy (no corrections) (eV/atom): -6.22

a = 3.0181 Å, b = 3.0181 Å, c = 28.4869 Å
α = 90.00°, β = 90.00°, γ = 120.00°
Closest atoms and distances in Å follow each position.
Space group R-3m (No. 166, hexagonal axes)
Unique sites:
Hf 0.0000 0.0000 0.0000 x3  6 Ge 2.90, 6 Hf 3.02
Ge 0.0000 0.0000 0.4145 x6  1 Pd 2.43
Pd 0.0000 0.0000 0.5000 x3  2 Ge 2.43